[1]
LuSbNO: optimized geometry, PBE.

Cell and atoms, written as extended XYZ:
```
16
Lattice="6.614 0.000 0.000 0.000 7.277 0.000 0.000 0.000 5.473" Properties=species:S:1:pos:R:3 pbc="T T T"
Lu 0.608 1.056 0.000
Lu 2.699 1.056 2.737
Lu 3.915 6.221 0.000
Lu 6.007 6.221 2.737
Sb 0.776 4.951 0.062
Sb 2.531 4.951 2.798
Sb 4.083 2.326 0.062
Sb 5.839 2.326 2.798
N 0.587 0.757 3.255
N 2.720 0.757 0.518
N 3.894 6.520 3.255
N 6.027 6.520 0.518
O 0.437 2.879 1.179
O 2.871 2.879 3.915
O 3.744 4.398 1.179
O 6.178 4.398 3.915
```

energy above the lowest structure with this stoichiometry = 6.29 kcal/mol of atoms
VASP energy = -6.690 eV/atom



[2]
K2Au2O5: optimized geometry, PBE.

Cell and atoms, written as extended XYZ:
```
9
Lattice="3.797 0.000 0.000 0.000 3.797 0.000 0.000 0.000 9.562" Properties=species:S:1:pos:R:3 pbc="T T T"
K 0.000 0.000 1.848
K 0.000 0.000 7.714
Au 1.899 1.899 0.000
Au 1.899 1.899 4.781
O 0.000 0.000 4.781
O 0.000 1.899 3.613
O 0.000 1.899 5.949
O 1.899 0.000 3.613
O 1.899 0.000 5.949
```

energy above the lowest structure with this stoichiometry = 20.74 kcal/mol of atoms
VASP energy = -3.174 eV/atom